## CrAg2O2 (GGA+U)

Data for an optimized crystal structure of CrAg2O2.

Computed properties:
Symmetry   I4/mmm (139)
Total magnetization   0.7899 μB/atom
Raw total energy   -4.342 eV/atom
Volume   15.1 Å³ per atom

Lattice parameters (Å, degrees): 6.251 6.251 6.251 146.18 146.18 48.58
Sites, in units of the cell vectors:
Cr 0.000 0.000 0.000
Ag 0.250 0.750 0.500
Ag 0.750 0.250 0.500
O 0.400 0.400 0.000
O 0.600 0.600 0.000